1.
MgHg2Cl after structural relaxation. Source: Alexandria via LeMat-Bulk, functional PBE-GGA.

The structure belongs to space group I-42d (No. 122); the cell edges are 9.6117, 9.6117 and 5.1025 Å and the angles 90.00°, 90.00° and 90.00°. The distinct sites, in fractional coordinates, are Mg at (0.0000, 0.0000, 0.0000), Hg at (0.1604, 0.7500, 0.1250) and Cl at (0.0000, 0.0000, 0.5000).

The volume comes out at 29.46 Å³/atom. The calculation puts the density at 6.49 g cm⁻³. The uncorrected formation energy is -41 kJ/mol of atoms. For the excess energy over the best structure of this formula in the dataset, the calculation gives 0.183 eV per atom. For the raw total energy, the calculation gives -5.732 eV per formula unit.



2.
Na3In2BPt3 after structural relaxation. Source: Alexandria via LeMat-Bulk, functional PBE-GGA.

The structure belongs to space group P-62m (No. 189); the cell edges are 7.4165, 7.4165 and 3.3448 Å and the angles 90.00°, 90.00° and 120.00°. The distinct sites, in fractional coordinates, are Na at (0.0000, 0.6291, 0.0000), In at (0.3333, 0.6667, 0.5000), B at (0.0000, 0.0000, 0.0000) and Pt at (0.0000, 0.2191, 0.5000).

The volume comes out at 17.70 Å³/atom. As for the energy relative to the elements: -0.128 eV per atom. The calculation puts the density at 9.32 g cm⁻³. For the raw total energy, the calculation gives -35.385 eV per formula unit.



3.
ZnGe3W after structural relaxation. Source: Alexandria via LeMat-Bulk, functional PBE-GGA.

The structure belongs to space group Pm-3m (No. 221); the cell edges are 4.7220, 4.7220 and 4.7220 Å and the angles 90.00°, 90.00° and 90.00°. The distinct sites, in fractional coordinates, are Zn at (0.0000, 0.0000, 0.0000), Ge at (0.0000, 0.0000, 0.5000) and W at (0.5000, 0.5000, 0.5000).

The volume comes out at 21.06 Å³/atom. As for the energy relative to the elements: 1.402 eV per atom. The calculation puts the density at 7.37 g cm⁻³. For the excess energy over the best structure of this formula in the dataset, the calculation gives 0.945 eV per atom. For the raw total energy, the calculation gives -21.071 eV per formula unit.



4.
Y2NbV after structural relaxation. Source: Alexandria via LeMat-Bulk, functional PBE-GGA.

The structure belongs to space group Fm-3m (No. 225); the cell edges are 7.2760, 7.2760 and 7.2760 Å and the angles 90.00°, 90.00° and 90.00°. The distinct sites, in fractional coordinates, are Y at (0.2500, 0.2500, 0.2500), Nb at (0.0000, 0.0000, 0.0000) and V at (0.0000, 0.0000, 0.5000).

The volume comes out at 24.07 Å³/atom. As for the energy relative to the elements: 0.418 eV per atom. The calculation puts the density at 5.55 g cm⁻³. For the excess energy over the best structure of this formula in the dataset, the calculation gives 0.000 eV per atom. For the raw total energy, the calculation gives -30.444 eV per formula unit.



5.
TbSm2Au after structural relaxation. Source: Alexandria via LeMat-Bulk, functional PBE-GGA.

The structure belongs to space group Pnma (No. 62); the cell edges are 7.0776, 10.0131 and 6.7311 Å and the angles 90.00°, 90.00° and 90.00°. The distinct sites, in fractional coordinates, are Tb at (0.0151, 0.2500, 0.1263), Sm at (0.1950, 0.0545, 0.6868) and Au at (0.0969, 0.7500, 0.4541).

The volume comes out at 29.81 Å³/atom. As for the energy relative to the elements: -0.412 eV per atom. The calculation puts the density at 9.14 g cm⁻³. For the excess energy over the best structure of this formula in the dataset, the calculation gives 0.000 eV per atom. For the raw total energy, the calculation gives -18.996 eV per formula unit.



6.
Lu2S3 after structural relaxation. Source: Alexandria via LeMat-Bulk, functional PBE-GGA.

The structure belongs to space group C2/c (No. 15); the cell edges are 6.8117, 11.3888 and 6.6291 Å and the angles 90.00°, 109.95° and 90.00°. The distinct sites, in fractional coordinates, are Lu at (0.0000, 0.0877, 0.2500), Lu at (0.0000, 0.2598, 0.7500), S at (0.2262, 0.0894, 0.9980) and S at (0.2500, 0.2500, 0.5000).

The volume comes out at 24.17 Å³/atom. The calculation puts the density at 6.13 g cm⁻³. The uncorrected formation energy is -198 kJ/mol of atoms. For the raw total energy, the calculation gives -31.679 eV per formula unit.



7.
Ca12Si3F5 after structural relaxation. Source: Alexandria via LeMat-Bulk, functional PBE-GGA.

The structure belongs to space group Ia-3d (No. 230); the cell edges are 15.8889, 15.8889 and 15.8889 Å and the angles 90.00°, 90.00° and 90.00°. The distinct sites, in fractional coordinates, are Ca at (0.0322, 0.0590, 0.6553), Si at (0.0000, 0.2500, 0.1250), F at (0.0000, 0.0000, 0.0000) and F at (0.0000, 0.2500, 0.3750).

The volume comes out at 25.07 Å³/atom. The calculation puts the density at 2.19 g cm⁻³. The uncorrected formation energy is -145 kJ/mol of atoms. For the raw total energy, the calculation gives -79.779 eV per formula unit.



8.
Pr6AgPd2I3 after structural relaxation. Source: Alexandria via LeMat-Bulk, functional PBE-GGA.

The structure belongs to space group C2/m (No. 12); the cell edges are 7.5209, 13.0023 and 8.4515 Å and the angles 90.00°, 107.24° and 90.00°. The distinct sites, in fractional coordinates, are Pr at (0.2169, 0.0000, 0.1956), Pr at (0.2407, 0.3259, 0.1985), Ag at (0.0000, 0.5000, 0.0000), Pd at (0.0000, 0.1675, 0.0000), I at (0.0000, 0.0000, 0.5000) and I at (0.0000, 0.3373, 0.5000).

The volume comes out at 32.89 Å³/atom. The calculation puts the density at 6.51 g cm⁻³. The uncorrected formation energy is -71 kJ/mol of atoms. For the raw total energy, the calculation gives -55.368 eV per formula unit.



9.
Th2SnAu3 after structural relaxation. Source: Alexandria via LeMat-Bulk, functional PBE-GGA.

The structure belongs to space group Fmmm (No. 69); the cell edges are 7.0639, 9.7032 and 16.7980 Å and the angles 90.00°, 90.00° and 90.00°. The distinct sites, in fractional coordinates, are Th at (0.2339, 0.0000, 0.0000), Th at (0.2500, 0.2500, 0.2500), Sn at (0.0000, 0.0000, 0.3348), Au at (0.0000, 0.0000, 0.1666) and Au at (0.0000, 0.2485, 0.4169).

The volume comes out at 23.99 Å³/atom. As for the energy relative to the elements: -0.668 eV per atom. The calculation puts the density at 13.54 g cm⁻³. For the excess energy over the best structure of this formula in the dataset, the calculation gives 0.000 eV per atom. For the raw total energy, the calculation gives -32.684 eV per formula unit.



10.
Fe2HgSb after structural relaxation. Source: Alexandria via LeMat-Bulk, functional PBE-GGA.

The structure belongs to space group I-42d (No. 122); the cell edges are 4.1974, 4.1974 and 18.1914 Å and the angles 90.00°, 90.00° and 90.00°. The distinct sites, in fractional coordinates, are Fe at (0.1708, 0.2500, 0.1250), Hg at (0.0000, 0.0000, 0.5000) and Sb at (0.0000, 0.0000, 0.0000).

The volume comes out at 20.03 Å³/atom. The calculation puts the density at 9.00 g cm⁻³. The uncorrected formation energy is 61 kJ/mol of atoms. For the raw total energy, the calculation gives -18.822 eV per formula unit.



11.
Ce4ZnOs after structural relaxation. Source: Alexandria via LeMat-Bulk, functional PBE-GGA.

The structure belongs to space group C2/c (No. 15); the cell edges are 8.4448, 12.3712 and 5.9243 Å and the angles 90.00°, 112.68° and 90.00°. The distinct sites, in fractional coordinates, are Ce at (0.1296, 0.1935, 0.0835), Ce at (0.2136, 0.4037, 0.3278), Zn at (0.0000, 0.3903, 0.7500) and Os at (0.0000, 0.9997, 0.2500).

The volume comes out at 23.79 Å³/atom. As for the energy relative to the elements: -0.168 eV per atom. The calculation puts the density at 9.49 g cm⁻³. For the raw total energy, the calculation gives -37.244 eV per formula unit.



12.
SmTl2Pd after structural relaxation. Source: Alexandria via LeMat-Bulk, functional PBE-GGA.

The structure belongs to space group R-3m (No. 166, hexagonal axes); the cell edges are 3.4669, 3.4669 and 31.4800 Å and the angles 90.00°, 90.00° and 120.00°. The distinct sites, in fractional coordinates, are Sm at (0.0000, 0.0000, 0.0000), Tl at (0.0000, 0.0000, 0.1011) and Pd at (0.0000, 0.0000, 0.5000).

The volume comes out at 27.31 Å³/atom. As for the energy relative to the elements: 0.066 eV per atom. The calculation puts the density at 10.12 g cm⁻³. For the raw total energy, the calculation gives -14.380 eV per formula unit.